HgSb2: optimized geometry, PBE-GGA.

Cell: 4.298 13.628 6.203 Å, 90.00 90.00 90.00°
Space group Cmcm (No. 63)
Symmetry-distinct sites (fractional):
Hg 0.000 0.162 0.250 [4 per cell]
Sb 0.000 0.162 0.750 [4 per cell]
Sb 0.000 0.484 0.250 [4 per cell]

Output
VASP energy = -8.3 eV per formula unit
raw formation energy = 0.082 eV/atom
offset from the most stable computed form = 47 meV per atom
total magnetization = 0.00 μB/cell